[1]
VASP calculation (PBE-GGA) on a relaxed Er4CdPdAu2 crystal.

Output
Crystal system: trigonal
Magnetic moment, μB per cell: 0.0

a b c (Å): 8.762 8.762 8.762
angles (deg): 33.57 33.57 33.57
Atoms (fractional coordinates):
Er (0.119, 0.119, 0.119)
Er (0.370, 0.370, 0.370)
Er (0.630, 0.630, 0.630)
Er (0.881, 0.881, 0.881)
Cd (0.500, 0.500, 0.500)
Pd (0.000, 0.000, 0.000)
Au (0.243, 0.243, 0.243)
Au (0.757, 0.757, 0.757)

***

[2]
VASP calculation (PBE-GGA) on a relaxed Er4CdPd2Au crystal.

Output
Crystal system: trigonal
Magnetic moment, μB per cell: 0.0

a b c (Å): 8.738 8.738 8.738
angles (deg): 33.40 33.40 33.40
Atoms (fractional coordinates):
Er (0.122, 0.122, 0.122)
Er (0.372, 0.372, 0.372)
Er (0.628, 0.628, 0.628)
Er (0.878, 0.878, 0.878)
Cd (0.500, 0.500, 0.500)
Pd (0.244, 0.244, 0.244)
Pd (0.756, 0.756, 0.756)
Au (0.000, 0.000, 0.000)

***

[3]
VASP calculation (PBE-GGA) on a relaxed PmErCdAu crystal.

Output
Crystal system: cubic
Magnetic moment, μB per cell: 0.0
ΔE to the lowest computed polymorph, meV/atom: 36

a b c (Å): 5.230 5.230 5.230
angles (deg): 60.00 60.00 60.00
Atoms (fractional coordinates):
Pm (0.000, 0.000, 0.000)
Er (0.500, 0.500, 0.500)
Cd (0.250, 0.250, 0.250)
Au (0.750, 0.750, 0.750)

***

[4]
VASP calculation (PBE-GGA) on a relaxed Pm2ErCdAu4 crystal.

Output
Crystal system: trigonal
Magnetic moment, μB per cell: 0.0

a b c (Å): 8.908 8.908 8.908
angles (deg): 33.05 33.05 33.05
Atoms (fractional coordinates):
Pm (0.243, 0.243, 0.243)
Pm (0.757, 0.757, 0.757)
Er (0.000, 0.000, 0.000)
Cd (0.500, 0.500, 0.500)
Au (0.119, 0.119, 0.119)
Au (0.365, 0.365, 0.365)
Au (0.635, 0.635, 0.635)
Au (0.881, 0.881, 0.881)

***

[5]
VASP calculation (PBE-GGA) on a relaxed PmErCdAu crystal.

Output
Crystal system: tetragonal
Magnetic moment, μB per cell: 0.1
ΔE to the lowest computed polymorph, meV/atom: 0

a b c (Å): 3.687 3.687 7.443
angles (deg): 90.00 90.00 90.00
Atoms (fractional coordinates):
Pm (0.000, 0.000, 0.000)
Er (0.000, 0.000, 0.473)
Cd (0.500, 0.500, 0.725)
Au (0.500, 0.500, 0.263)

***

[6]
VASP calculation (PBE-GGA) on a relaxed PrErCdAu crystal.

Output
Crystal system: cubic
Magnetic moment, μB per cell: 0.0
ΔE to the lowest computed polymorph, meV/atom: 46

a b c (Å): 5.270 5.270 5.270
angles (deg): 60.00 60.00 60.00
Atoms (fractional coordinates):
Pr (0.000, 0.000, 0.000)
Er (0.500, 0.500, 0.500)
Cd (0.750, 0.750, 0.750)
Au (0.250, 0.250, 0.250)

***

no.,energy relative to the elements (kJ per mole of atoms)
1,-72.3
2,-71.8
3,-51.9
4,-74.1
5,-55.4
6,-50.1